This record from Alexandria describes a relaxed structure of CdInRe2Ni. The functional is PBE.

ρ	9.528	g/cm3
E_form	2.2559	eV per atom
energy	-23.1	eV per cell

a b c (Å): 4.994 4.994 4.600
angles (deg): 90.00 90.00 90.00
Space group P4/mmm (No. 123)
Asymmetric unit:
Cd: 0.000 0.000 0.000
In: 0.500 0.500 0.500
Re: 0.000 0.500 0.500
Ni: 0.500 0.500 0.000